Entry 1:
This record from the Alexandria database describes a geometry-optimized Rb3Sn5Sb2 structure. The functional is GGA-PBE.

Results
The mass density comes out at 4.81 g/cm³. As for the electronic total energy: -3.311 eV per atom. The calculation puts the raw formation energy at -0.19 eV/atom.

Cell: 10.853 10.853 10.853 Å, 104.93 88.34 140.48°
Fractional positions:
Rb: 0.122 0.741 0.863
Rb: 0.250 0.250 0.000
Rb: 0.378 0.241 0.619
Rb: 0.622 0.759 0.381
Rb: 0.750 0.750 0.000
Rb: 0.878 0.259 0.137
Sn: 0.006 0.750 0.256
Sn: 0.121 0.376 0.497
Sn: 0.250 0.750 0.500
Sn: 0.379 0.876 0.255
Sn: 0.494 0.750 0.744
Sn: 0.506 0.250 0.256
Sn: 0.621 0.124 0.745
Sn: 0.750 0.250 0.500
Sn: 0.879 0.624 0.503
Sn: 0.994 0.250 0.744
Sb: 0.156 0.148 0.304
Sb: 0.344 0.648 0.992
Sb: 0.656 0.352 0.008
Sb: 0.844 0.852 0.696

---

Entry 2:
This record from the Alexandria database describes a geometry-optimized RbSn5Sb4 structure. The functional is GGA-PBE.

Results
The mass density comes out at 5.59 g/cm³. As for the electronic total energy: -3.764 eV per atom. The calculation puts the raw formation energy at -0.02 eV/atom.

Cell: 12.482 13.032 4.258 Å, 90.00 90.00 90.00°
Fractional positions:
Rb: 0.250 0.250 0.250
Rb: 0.750 0.750 0.750
Sn: 0.083 0.537 0.250
Sn: 0.083 0.963 0.250
Sn: 0.250 0.750 0.626
Sn: 0.417 0.537 0.250
Sn: 0.417 0.963 0.250
Sn: 0.583 0.037 0.750
Sn: 0.583 0.463 0.750
Sn: 0.750 0.250 0.374
Sn: 0.917 0.037 0.750
Sn: 0.917 0.463 0.750
Sb: 0.057 0.750 0.073
Sb: 0.250 0.003 0.745
Sb: 0.250 0.497 0.745
Sb: 0.443 0.750 0.073
Sb: 0.557 0.250 0.927
Sb: 0.750 0.503 0.255
Sb: 0.750 0.997 0.255
Sb: 0.943 0.250 0.927

---

Entry 3:
This record from the Alexandria database describes a geometry-optimized RbSnSb2 structure. The functional is GGA-PBE.

Results
The mass density comes out at 5.19 g/cm³. As for the electronic total energy: -3.436 eV per atom. The calculation puts the raw formation energy at -0.13 eV/atom.

Cell: 4.354 4.354 7.559 Å, 90.00 90.00 90.00°
Fractional positions:
Rb: 0.000 0.000 0.000
Sn: 0.000 0.000 0.500
Sb: 0.500 0.500 0.317
Sb: 0.500 0.500 0.683

---

Entry 4:
This record from the Alexandria database describes a geometry-optimized Rb4SnSb6 structure. The functional is GGA-PBE.

Results
The mass density comes out at 3.97 g/cm³. As for the electronic total energy: -3.285 eV per atom. The calculation puts the raw formation energy at -0.32 eV/atom.

Cell: 15.345 15.345 14.663 Å, 90.00 90.00 120.00°
Fractional positions:
Rb: 0.000 0.000 0.000
Rb: 0.000 0.000 0.500
Rb: 0.030 0.639 0.450
Rb: 0.101 0.770 0.150
Rb: 0.185 0.481 0.879
Rb: 0.230 0.331 0.150
Rb: 0.296 0.815 0.879
Rb: 0.331 0.101 0.850
Rb: 0.333 0.667 0.207
Rb: 0.333 0.667 0.506
Rb: 0.361 0.391 0.450
Rb: 0.391 0.030 0.550
Rb: 0.481 0.296 0.121
Rb: 0.519 0.704 0.879
Rb: 0.609 0.970 0.450
Rb: 0.639 0.609 0.550
Rb: 0.667 0.333 0.494
Rb: 0.667 0.333 0.793
Rb: 0.669 0.899 0.150
Rb: 0.704 0.185 0.121
Rb: 0.770 0.669 0.850
Rb: 0.815 0.519 0.121
Rb: 0.899 0.230 0.850
Rb: 0.970 0.361 0.550
Sn: 0.039 0.490 0.223
Sn: 0.451 0.961 0.223
Sn: 0.490 0.451 0.777
Sn: 0.510 0.549 0.223
Sn: 0.549 0.039 0.777
Sn: 0.961 0.510 0.777
Sb: 0.001 0.650 0.924
Sb: 0.050 0.234 0.349
Sb: 0.054 0.828 0.829
Sb: 0.151 0.630 0.685
Sb: 0.156 0.444 0.347
Sb: 0.160 0.814 0.665
Sb: 0.172 0.226 0.829
Sb: 0.184 0.950 0.349
Sb: 0.186 0.346 0.665
Sb: 0.226 0.054 0.171
Sb: 0.234 0.184 0.651
Sb: 0.287 0.844 0.347
Sb: 0.346 0.160 0.335
Sb: 0.350 0.351 0.924
Sb: 0.351 0.001 0.076
Sb: 0.370 0.522 0.685
Sb: 0.444 0.287 0.653
Sb: 0.478 0.849 0.685
Sb: 0.522 0.151 0.315
Sb: 0.556 0.713 0.347
Sb: 0.630 0.478 0.315
Sb: 0.649 0.999 0.924
Sb: 0.650 0.649 0.076
Sb: 0.654 0.840 0.665
Sb: 0.713 0.156 0.653
Sb: 0.766 0.816 0.349
Sb: 0.774 0.946 0.829
Sb: 0.814 0.654 0.335
Sb: 0.816 0.050 0.651
Sb: 0.828 0.774 0.171
Sb: 0.840 0.186 0.335
Sb: 0.844 0.556 0.653
Sb: 0.849 0.370 0.315
Sb: 0.946 0.172 0.171
Sb: 0.950 0.766 0.651
Sb: 0.999 0.350 0.076

---

Entry 5:
This record from the Alexandria database describes a geometry-optimized RbSn4Sb2 structure. The functional is GGA-PBE.

Results
The mass density comes out at 5.67 g/cm³. The value obtained for the energy above the most stable polymorph in this dataset is 0.08 eV/f.u. As for the electronic total energy: -3.676 eV per atom. The calculation puts the raw formation energy at -0.07 eV/atom.

Cell: 9.951 9.951 4.752 Å, 90.00 90.00 90.00°
Fractional positions:
Rb: 0.000 0.000 0.000
Rb: 0.500 0.500 0.500
Sn: 0.071 0.345 0.500
Sn: 0.155 0.571 0.000
Sn: 0.345 0.071 0.500
Sn: 0.429 0.845 0.000
Sn: 0.571 0.155 0.000
Sn: 0.655 0.929 0.500
Sn: 0.845 0.429 0.000
Sn: 0.929 0.655 0.500
Sb: 0.224 0.776 0.500
Sb: 0.276 0.276 0.000
Sb: 0.724 0.724 0.000
Sb: 0.776 0.224 0.500

---

Entry 6:
This record from the Alexandria database describes a geometry-optimized RbSnSb2 structure. The functional is GGA-PBE.

Results
The mass density comes out at 4.80 g/cm³. As for the electronic total energy: -3.292 eV per atom. The calculation puts the raw formation energy at 0.01 eV/atom.

Cell: 7.572 7.572 7.572 Å, 119.36 119.36 91.10°
Fractional positions:
Rb: 0.250 0.250 0.000
Rb: 0.750 0.750 0.000
Sn: 0.250 0.750 0.500
Sn: 0.750 0.250 0.500
Sb: 0.135 0.635 0.770
Sb: 0.365 0.135 0.500
Sb: 0.635 0.865 0.500
Sb: 0.865 0.365 0.230

---

Entry 7:
This record from the Alexandria database describes a geometry-optimized Rb3Sn4Sb2 structure. The functional is GGA-PBE.

Results
The mass density comes out at 4.61 g/cm³. As for the electronic total energy: -3.263 eV per atom. The calculation puts the raw formation energy at -0.25 eV/atom.

Cell: 4.622 7.695 10.622 Å, 78.90 80.22 72.58°
Fractional positions:
Rb: 0.000 0.000 0.000
Rb: 0.368 0.870 0.359
Rb: 0.632 0.130 0.641
Sn: 0.058 0.496 0.345
Sn: 0.310 0.425 0.928
Sn: 0.690 0.575 0.072
Sn: 0.942 0.504 0.655
Sb: 0.307 0.729 0.712
Sb: 0.693 0.271 0.288

---

Entry 8:
This record from the Alexandria database describes a geometry-optimized Rb4SnSb4 structure. The functional is GGA-PBE.

Results
The mass density comes out at 3.38 g/cm³. As for the electronic total energy: -2.866 eV per atom. The calculation puts the raw formation energy at -0.16 eV/atom.

Cell: 10.029 10.029 10.029 Å, 136.86 136.86 62.66°
Fractional positions:
Rb: 0.161 0.161 0.619
Rb: 0.458 0.839 0.000
Rb: 0.542 0.542 0.381
Rb: 0.839 0.458 0.000
Sn: 0.000 0.000 0.000
Sb: 0.012 0.714 0.000
Sb: 0.286 0.286 0.298
Sb: 0.714 0.012 0.000
Sb: 0.988 0.988 0.702

---

Entry 9:
This record from the Alexandria database describes a geometry-optimized Rb3Sn8Sb3 structure. The functional is GGA-PBE.

Results
The mass density comes out at 5.33 g/cm³. As for the electronic total energy: -3.461 eV per atom. The calculation puts the raw formation energy at -0.08 eV/atom.

Cell: 10.433 10.433 10.433 Å, 153.47 99.73 86.35°
Fractional positions:
Rb: 0.000 0.000 0.000
Rb: 0.283 0.283 0.000
Rb: 0.717 0.717 0.000
Sn: 0.042 0.376 0.666
Sn: 0.123 0.830 0.293
Sn: 0.290 0.624 0.666
Sn: 0.463 0.170 0.293
Sn: 0.537 0.830 0.707
Sn: 0.710 0.376 0.334
Sn: 0.877 0.170 0.707
Sn: 0.958 0.624 0.334
Sb: 0.342 0.500 0.842
Sb: 0.500 0.000 0.500
Sb: 0.658 0.500 0.158

---

Entry 10:
This record from the Alexandria database describes a geometry-optimized RbSnSb2 structure. The functional is GGA-PBE.

Results
The mass density comes out at 5.21 g/cm³. As for the electronic total energy: -3.345 eV per atom. The calculation puts the raw formation energy at -0.04 eV/atom.

Cell: 9.694 9.694 9.694 Å, 24.95 24.95 24.95°
Fractional positions:
Rb: 0.000 0.000 0.000
Sn: 0.166 0.166 0.166
Sb: 0.563 0.563 0.563
Sb: 0.768 0.768 0.768

---

Entry 11:
This record from the Alexandria database describes a geometry-optimized RbSn4Sb structure. The functional is GGA-PBE.

Results
The mass density comes out at 5.52 g/cm³. As for the electronic total energy: -3.580 eV per atom. The calculation puts the raw formation energy at -0.06 eV/atom.

Cell: 7.363 7.363 7.259 Å, 112.76 112.76 34.74°
Fractional positions:
Rb: 0.000 0.000 0.000
Sn: 0.238 0.238 0.826
Sn: 0.343 0.343 0.513
Sn: 0.657 0.657 0.487
Sn: 0.762 0.762 0.174
Sb: 0.000 0.000 0.500

---

Entry 12:
This record from the Alexandria database describes a geometry-optimized Rb2Sn3Sb3 structure. The functional is GGA-PBE.

Results
The mass density comes out at 4.78 g/cm³. As for the electronic total energy: -3.478 eV per atom. The calculation puts the raw formation energy at -0.19 eV/atom.

Cell: 8.654 8.654 17.485 Å, 90.00 90.00 151.76°
Fractional positions:
Rb: 0.167 0.833 0.608
Rb: 0.167 0.833 0.892
Rb: 0.833 0.167 0.108
Rb: 0.833 0.167 0.392
Sn: 0.363 0.637 0.750
Sn: 0.470 0.530 0.585
Sn: 0.470 0.530 0.915
Sn: 0.530 0.470 0.085
Sn: 0.530 0.470 0.415
Sn: 0.637 0.363 0.250
Sb: 0.147 0.853 0.106
Sb: 0.147 0.853 0.394
Sb: 0.460 0.540 0.250
Sb: 0.540 0.460 0.750
Sb: 0.853 0.147 0.606
Sb: 0.853 0.147 0.894

---

Entry 13:
This record from the Alexandria database describes a geometry-optimized Rb3SnSb structure. The functional is GGA-PBE.

Results
The mass density comes out at 3.13 g/cm³. The value obtained for the energy above the most stable polymorph in this dataset is 0.00 eV/f.u. As for the electronic total energy: -2.383 eV per atom. The calculation puts the raw formation energy at -0.18 eV/atom.

Cell: 8.829 8.829 9.098 Å, 119.65 119.65 83.75°
Fractional positions:
Rb: 0.058 0.058 0.341
Rb: 0.105 0.469 0.247
Rb: 0.469 0.105 0.247
Rb: 0.531 0.895 0.753
Rb: 0.895 0.531 0.753
Rb: 0.942 0.942 0.659
Sn: 0.308 0.308 0.882
Sn: 0.692 0.692 0.118
Sb: 0.436 0.436 0.714
Sb: 0.564 0.564 0.286

---

Entry 14:
This record from the Alexandria database describes a geometry-optimized RbSn6Sb2 structure. The functional is GGA-PBE.

Results
The mass density comes out at 5.89 g/cm³. The value obtained for the energy above the most stable polymorph in this dataset is 0.00 eV/f.u. As for the electronic total energy: -3.718 eV per atom. The calculation puts the raw formation energy at -0.03 eV/atom.

Cell: 5.342 5.342 10.289 Å, 90.00 90.00 90.00°
Fractional positions:
Rb: 0.000 0.000 0.000
Sn: 0.000 0.000 0.500
Sn: 0.000 0.500 0.311
Sn: 0.000 0.500 0.689
Sn: 0.500 0.000 0.311
Sn: 0.500 0.000 0.689
Sn: 0.500 0.500 0.500
Sb: 0.500 0.500 0.150
Sb: 0.500 0.500 0.850

---

Entry 15:
This record from the Alexandria database describes a geometry-optimized RbSnSb2 structure. The functional is GGA-PBE.

Results
The mass density comes out at 5.20 g/cm³. As for the electronic total energy: -3.344 eV per atom. The calculation puts the raw formation energy at -0.04 eV/atom.

Cell: 9.724 9.724 9.724 Å, 24.85 24.85 24.85°
Fractional positions:
Rb: 0.000 0.000 0.000
Sn: 0.500 0.500 0.500
Sb: 0.231 0.231 0.231
Sb: 0.769 0.769 0.769

---

Entry 16:
This record from the Alexandria database describes a geometry-optimized Rb2Sn2Sb structure. The functional is GGA-PBE.

Results
The mass density comes out at 4.43 g/cm³. The value obtained for the energy above the most stable polymorph in this dataset is 0.00 eV/f.u. As for the electronic total energy: -2.987 eV per atom. The calculation puts the raw formation energy at -0.17 eV/atom.

Cell: 7.243 7.243 7.243 Å, 136.53 129.31 68.95°
Fractional positions:
Rb: 0.206 0.206 0.000
Rb: 0.794 0.794 0.000
Sn: 0.235 0.500 0.735
Sn: 0.765 0.500 0.265
Sb: 0.500 0.000 0.500

---

Entry 17:
This record from the Alexandria database describes a geometry-optimized RbSnSb structure. The functional is GGA-PBE.

Results
The mass density comes out at 4.49 g/cm³. As for the electronic total energy: -3.365 eV per atom. The calculation puts the raw formation energy at -0.33 eV/atom.

Cell: 7.442 7.442 7.442 Å, 34.91 34.91 34.91°
Fractional positions:
Rb: 0.000 0.000 0.000
Sn: 0.801 0.801 0.801
Sb: 0.203 0.203 0.203

---

Entry 18:
This record from the Alexandria database describes a geometry-optimized Rb6SnSb4 structure. The functional is GGA-PBE.

Results
The mass density comes out at 3.51 g/cm³. As for the electronic total energy: -2.713 eV per atom. The calculation puts the raw formation energy at -0.32 eV/atom.

Cell: 11.867 11.867 8.681 Å, 90.00 90.00 120.00°
Fractional positions:
Rb: 0.045 0.522 0.000
Rb: 0.149 0.297 0.299
Rb: 0.149 0.851 0.299
Rb: 0.297 0.149 0.799
Rb: 0.478 0.522 0.000
Rb: 0.478 0.955 0.000
Rb: 0.522 0.045 0.500
Rb: 0.522 0.478 0.500
Rb: 0.703 0.851 0.299
Rb: 0.851 0.149 0.799
Rb: 0.851 0.703 0.799
Rb: 0.955 0.478 0.500
Sn: 0.333 0.667 0.635
Sn: 0.667 0.333 0.135
Sb: 0.198 0.395 0.716
Sb: 0.198 0.802 0.716
Sb: 0.333 0.667 0.304
Sb: 0.395 0.198 0.216
Sb: 0.605 0.802 0.716
Sb: 0.667 0.333 0.804
Sb: 0.802 0.198 0.216
Sb: 0.802 0.605 0.216

---

Entry 19:
This record from the Alexandria database describes a geometry-optimized Rb3Sn2Sb3 structure. The functional is GGA-PBE.

Results
The mass density comes out at 4.57 g/cm³. The value obtained for the energy above the most stable polymorph in this dataset is 0.00 eV/f.u. As for the electronic total energy: -3.188 eV per atom. The calculation puts the raw formation energy at -0.28 eV/atom.

Cell: 7.233 7.233 17.677 Å, 90.00 90.00 137.49°
Fractional positions:
Rb: 0.076 0.924 0.619
Rb: 0.076 0.924 0.881
Rb: 0.384 0.616 0.750
Rb: 0.616 0.384 0.250
Rb: 0.924 0.076 0.119
Rb: 0.924 0.076 0.381
Sn: 0.228 0.772 0.086
Sn: 0.228 0.772 0.414
Sn: 0.772 0.228 0.586
Sn: 0.772 0.228 0.914
Sb: 0.299 0.701 0.250
Sb: 0.381 0.619 0.543
Sb: 0.381 0.619 0.957
Sb: 0.619 0.381 0.043
Sb: 0.619 0.381 0.457
Sb: 0.701 0.299 0.750